(1)
Density functional theory data (PBEsol) for Nd2Fe4Co13 after structural relaxation.

## Properties
- Space group: R3m (160)
- Formation energy: -3.0 kJ per mole of atoms
- Spin magnetization: 27.7 μB/cell

a = 6.2407 Å, b = 6.2407 Å, c = 6.2407 Å
α = 82.84°, β = 82.84°, γ = 82.84°
Closest atoms and distances in Å follow each position.
Fractional positions:
Nd1 0.3439 0.3439 0.3439  16 Co 2.97-3.13, 3 Fe 3.18
Nd2 0.6557 0.6557 0.6557  15 Co 2.96-3.14, 4 Fe 3.03-3.23
Fe1 0.0022 0.4960 0.0022  9 Co 2.36-2.50, 1 Fe 2.57
Fe2 0.4960 0.0022 0.0022  9 Co 2.36-2.50, 1 Fe 2.57
Fe3 0.0022 0.0022 0.4960  9 Co 2.36-2.50, 1 Fe 2.57
Fe4 0.9062 0.9062 0.9062  1 Co 2.29, 3 Fe 2.57
Co1 0.2857 0.0002 0.7142  3 Fe 2.36-2.62, 7 Co 2.36-2.63
Co2 0.0002 0.7142 0.2857  3 Fe 2.36-2.62, 7 Co 2.36-2.63
Co3 0.7142 0.2857 0.0002  3 Fe 2.36-2.62, 7 Co 2.36-2.63
Co4 0.0002 0.2857 0.7142  3 Fe 2.36-2.62, 7 Co 2.36-2.63
Co5 0.2857 0.7142 0.0002  3 Fe 2.36-2.62, 7 Co 2.36-2.63
Co6 0.7142 0.0002 0.2857  3 Fe 2.36-2.62, 7 Co 2.36-2.63
Co7 0.6567 0.1516 0.6567  3 Fe 2.39-2.57, 6 Co 2.41-2.58
Co8 0.1516 0.6567 0.6567  3 Fe 2.39-2.57, 6 Co 2.41-2.58
Co9 0.6567 0.6567 0.1516  3 Fe 2.39-2.57, 6 Co 2.41-2.58
Co10 0.3437 0.8448 0.3437  2 Fe 2.37, 7 Co 2.41-2.58
Co11 0.8448 0.3437 0.3437  2 Fe 2.37, 7 Co 2.41-2.58
Co12 0.3437 0.3437 0.8448  2 Fe 2.37, 7 Co 2.41-2.58
Co13 0.0961 0.0961 0.0961  4 Fe 2.29-2.50


(2)
Density functional theory data (PBEsol) for NdFeCoSi2 after structural relaxation.

## Properties
- Space group: I-4m2 (119)
- Formation energy (no corrections): -0.77 eV/atom
- Spin magnetization: 0.0 μB/cell

a = 3.9354 Å, b = 3.9354 Å, c = 5.6005 Å
α = 110.57°, β = 110.57°, γ = 90.00°
Closest atoms and distances in Å follow each position.
Fractional positions:
Co1 0.7500 0.2500 0.5000  4 Si 2.26
Si1 0.3641 0.3641 0.7281  2 Fe 2.26, 2 Co 2.26
Si2 0.6359 0.6359 0.2719  2 Fe 2.26, 2 Co 2.26
Nd1 0.0000 0.0000 0.0000  8 Si 3.08, 4 Fe 3.13, 4 Co 3.13
Fe1 0.2500 0.7500 0.5000  4 Si 2.26


(3)
Density functional theory data (PBEsol) for Nd2FeCo3Si4 after structural relaxation.

## Properties
- Space group: P-4m2 (115)
- Formation energy (no corrections): -0.80 eV/atom
- Spin magnetization: 0.0 μB/cell

a = 3.9162 Å, b = 3.9162 Å, c = 9.7881 Å
α = 90.00°, β = 90.00°, γ = 90.00°
Closest atoms and distances in Å follow each position.
Fractional positions:
Nd1 0.5000 0.0000 0.7517  8 Si 3.06-3.07, 6 Co 3.12-3.15, 2 Fe 3.12
Nd2 0.0000 0.5000 0.2483  8 Si 3.06-3.07, 2 Fe 3.12, 6 Co 3.12-3.15
Fe1 0.5000 0.5000 0.0000  4 Si 2.25
Co1 0.0000 0.0000 0.5000  4 Si 2.27
Co2 0.0000 0.0000 0.0000  4 Si 2.25
Co3 0.5000 0.5000 0.5000  4 Si 2.27
Si1 0.0000 0.5000 0.8859  2 Fe 2.25, 2 Co 2.25
Si2 0.5000 0.0000 0.3830  4 Co 2.27
Si3 0.5000 0.0000 0.1141  2 Co 2.25, 2 Fe 2.25
Si4 0.0000 0.5000 0.6170  4 Co 2.27


(4)
Density functional theory data (PBEsol) for Nd2Fe3CoSi4 after structural relaxation.

## Properties
- Space group: P-4m2 (115)
- Formation energy (no corrections): -0.73 eV/atom
- Spin magnetization: 0.0 μB/cell

a = 3.9507 Å, b = 3.9507 Å, c = 9.6811 Å
α = 90.00°, β = 90.00°, γ = 90.00°
Closest atoms and distances in Å follow each position.
Fractional positions:
Nd1 0.5000 0.0000 0.7486  8 Si 3.09-3.10, 6 Fe 3.11-3.13, 2 Co 3.13
Nd2 0.0000 0.5000 0.2514  8 Si 3.09-3.10, 6 Fe 3.11-3.13, 2 Co 3.13
Fe1 0.0000 0.0000 0.5000  4 Si 2.25
Fe2 0.0000 0.0000 0.0000  4 Si 2.26
Fe3 0.5000 0.5000 0.5000  4 Si 2.25
Co1 0.5000 0.5000 0.0000  4 Si 2.26
Si1 0.0000 0.5000 0.8863  2 Co 2.26, 2 Fe 2.26
Si2 0.5000 0.0000 0.3882  4 Fe 2.25
Si3 0.5000 0.0000 0.1137  2 Co 2.26, 2 Fe 2.26
Si4 0.0000 0.5000 0.6118  4 Fe 2.25


(5)
Density functional theory data (PBEsol) for Nd2FeCo17Si8 after structural relaxation.

## Properties
- Space group: Fmmm (69)
- Formation energy (no corrections): -0.55 eV/atom
- Spin magnetization: 6.5 μB/cell

a = 7.6438 Å, b = 7.6438 Å, c = 7.8097 Å
α = 119.23°, β = 119.23°, γ = 90.12°
Closest atoms and distances in Å follow each position.
Fractional positions:
Nd1 0.2500 0.7500 0.5000  16 Co 3.11-3.26, 8 Si 3.18-3.19
Nd2 0.7500 0.2500 0.5000  16 Co 3.11-3.26, 8 Si 3.18-3.19
Fe1 0.0000 0.0000 0.0000  4 Si 2.30, 8 Co 2.34-2.45
Co1 0.4484 0.1926 0.6410  4 Si 2.28-2.40, 5 Co 2.45-2.52
Co2 0.1926 0.4484 0.6410  4 Si 2.28-2.40, 5 Co 2.45-2.52
Co3 0.9478 0.9478 0.6407  4 Si 2.28-2.40, 1 Fe 2.45, 4 Co 2.45-2.52
Co4 0.6929 0.6929 0.6407  4 Si 2.28-2.40, 1 Fe 2.45, 4 Co 2.45-2.52
Co5 0.5516 0.8074 0.3590  4 Si 2.28-2.40, 5 Co 2.45-2.52
Co6 0.8074 0.5516 0.3590  4 Si 2.28-2.40, 5 Co 2.45-2.52
Co7 0.0522 0.0522 0.3593  4 Si 2.28-2.40, 1 Fe 2.45, 4 Co 2.45-2.52
Co8 0.3071 0.3071 0.3593  4 Si 2.28-2.40, 1 Fe 2.45, 4 Co 2.45-2.52
Co9 0.7018 0.9311 0.0000  5 Co 2.30-2.48, 1 Fe 2.34, 4 Si 2.42-2.48
Co10 0.2982 0.0689 0.0000  5 Co 2.30-2.48, 1 Fe 2.34, 4 Si 2.42-2.48
Co11 0.2009 0.5701 0.0000  6 Co 2.30-2.47, 4 Si 2.42-2.49
Co12 0.7991 0.4299 0.0000  6 Co 2.30-2.47, 4 Si 2.42-2.49
Co13 0.4299 0.7991 0.0000  6 Co 2.30-2.47, 4 Si 2.42-2.49
Co14 0.5701 0.2009 0.0000  6 Co 2.30-2.47, 4 Si 2.42-2.49
Co15 0.0689 0.2982 0.0000  5 Co 2.30-2.48, 1 Fe 2.34, 4 Si 2.42-2.48
Co16 0.9311 0.7018 0.0000  5 Co 2.30-2.48, 1 Fe 2.34, 4 Si 2.42-2.48
Co17 0.5000 0.5000 0.0000  4 Si 2.29, 8 Co 2.35-2.45
Si1 0.7082 0.0493 0.7575  8 Co 2.28-2.48, 1 Fe 2.30
Si2 0.0493 0.7082 0.7575  8 Co 2.28-2.48, 1 Fe 2.30
Si3 0.2085 0.2085 0.7584  9 Co 2.28-2.49
Si4 0.5499 0.5499 0.7584  9 Co 2.28-2.49
Si5 0.2918 0.9507 0.2425  8 Co 2.28-2.48, 1 Fe 2.30
Si6 0.9507 0.2918 0.2425  8 Co 2.28-2.48, 1 Fe 2.30
Si7 0.7915 0.7915 0.2416  9 Co 2.28-2.49
Si8 0.4501 0.4501 0.2416  9 Co 2.28-2.49


(6)
Density functional theory data (PBEsol) for FeCo2Ni after structural relaxation.

## Properties
- Space group: Pmmm (47)
- Formation energy: 3.2 kJ per mole of atoms
- ΔE to the lowest computed polymorph: 0.193 eV per formula unit
- Spin magnetization: 6.3 μB/cell

a = 2.4559 Å, b = 3.4733 Å, c = 4.9521 Å
α = 90.00°, β = 90.00°, γ = 90.00°
Closest atoms and distances in Å follow each position.
Fractional positions:
Ni1 0.5000 0.5000 0.5000  8 Co 2.45-2.46, 2 Ni 2.46, 2 Fe 2.48
Co1 0.0002 0.0000 0.7476  4 Co 2.45-2.50, 4 Ni 2.45-2.46, 4 Fe 2.47
Co2 0.9998 0.0000 0.2524  4 Co 2.45-2.50, 4 Ni 2.45-2.46, 4 Fe 2.47
Fe1 0.5000 0.5000 0.0000  2 Fe 2.46, 8 Co 2.47, 2 Ni 2.48


(7)
Density functional theory data (PBEsol) for FeCoNi after structural relaxation.

## Properties
- Space group: I4mm (107)
- Formation energy: 1.5 kJ per mole of atoms
- ΔE to the lowest computed polymorph: 0.000 eV per formula unit
- Spin magnetization: 4.8 μB/cell

a = 2.4494 Å, b = 2.4494 Å, c = 5.5821 Å
α = 102.67°, β = 102.67°, γ = 90.00°
Closest atoms and distances in Å follow each position.
Fractional positions:
Ni1 0.3352 0.3352 0.6704  4 Co 2.45, 4 Ni 2.45, 4 Fe 2.49
Co1 0.9980 0.9980 0.9960  4 Ni 2.45, 4 Co 2.45, 4 Fe 2.49
Fe1 0.6668 0.6668 0.3336  4 Fe 2.45, 4 Ni 2.49, 4 Co 2.49


(8)
Density functional theory data (PBEsol) for FeCo2Ni after structural relaxation.

## Properties
- Space group: P4/mmm (123)
- Formation energy: -1.5 kJ per mole of atoms
- ΔE to the lowest computed polymorph: 0.000 eV per formula unit
- Spin magnetization: 6.3 μB/cell

a = 3.4707 Å, b = 3.4707 Å, c = 3.4983 Å
α = 90.00°, β = 90.00°, γ = 90.00°
Closest atoms and distances in Å follow each position.
Fractional positions:
Ni1 0.0000 0.0000 0.5000  4 Fe 2.45, 8 Co 2.46
Co1 0.0000 0.5000 0.0000  4 Co 2.45, 4 Fe 2.46, 4 Ni 2.46
Co2 0.5000 0.0000 0.0000  4 Co 2.45, 4 Fe 2.46, 4 Ni 2.46
Fe1 0.5000 0.5000 0.5000  4 Ni 2.45, 8 Co 2.46